Below is an optimized crystal structure of Ba2FeSe, with properties calculated at the GGA-PBE level.

The structure belongs to space group F-43m (No. 216); the cell edges are 7.863, 7.863 and 7.863 Å and the angles 90.00°, 90.00° and 90.00°. The asymmetric unit holds Ba at (0.000, 0.000, 0.000), Ba at (0.250, 0.250, 0.250), Fe at (0.000, 0.000, 0.500) and Se at (0.250, 0.250, 0.750).

The calculation puts the uncorrected energy at -3.79 eV/atom. The value obtained for the formation energy (no corrections) is 0.1611 eV per atom.